PBE SmPa2Ga9, relaxed; space-group type = No. 123; VASP energy = -4.675 eV per atom; formation energy = -0.43 eV/atom; volume = 240.2 Å³/cell
1.0
4.3139 0.0000 0.0000
0.0000 4.3139 0.0000
0.0000 0.0000 12.9099
Sm Pa Ga
1 2 9
Direct
0.0000 0.0000 0.0000
0.0000 0.0000 0.3344
0.0000 0.0000 0.6656
0.0000 0.5000 0.1688
0.0000 0.5000 0.5000
0.0000 0.5000 0.8312
0.5000 0.0000 0.1688
0.5000 0.0000 0.5000
0.5000 0.0000 0.8312
0.5000 0.5000 0.0000
0.5000 0.5000 0.3359
0.5000 0.5000 0.6641



PBE Sm2PaGa9, relaxed; space-group type = No. 123; VASP energy = -4.336 eV per atom; formation energy = -0.49 eV/atom; volume = 242.2 Å³/cell
1.0
4.3223 0.0000 0.0000
0.0000 4.3223 0.0000
0.0000 0.0000 12.9643
Sm Pa Ga
2 1 9
Direct
0.0000 0.0000 0.1677
0.0000 0.0000 0.8323
0.0000 0.0000 0.5000
0.0000 0.5000 0.0000
0.0000 0.5000 0.3358
0.0000 0.5000 0.6642
0.5000 0.0000 0.0000
0.5000 0.0000 0.3358
0.5000 0.0000 0.6642
0.5000 0.5000 0.1669
0.5000 0.5000 0.5000
0.5000 0.5000 0.8331



PBE SmPaGa6, relaxed; space-group type = No. 187; VASP energy = -4.511 eV per atom; formation energy = -0.46 eV/atom; volume = 158.2 Å³/cell
1.0
6.3223 0.0000 0.0000
-3.1612 5.4753 0.0000
0.0000 0.0000 4.5712
Sm Pa Ga
1 1 6
Direct
0.0000 0.0000 0.0000
0.3333 0.6667 0.5000
0.3729 0.1865 0.5000
0.5195 0.0390 0.0000
0.5195 0.4805 0.0000
0.8135 0.1865 0.5000
0.8135 0.6271 0.5000
0.9610 0.4805 0.0000



PBE Sm2PaGa, relaxed; relative energy among the computed polymorphs = 271 meV/atom; space-group type = No. 225; VASP energy = -5.331 eV per atom; formation energy = 0.16 eV/atom; volume = 104.9 Å³/cell
1.0
0.0000 3.7430 3.7430
3.7430 0.0000 3.7430
3.7430 3.7430 0.0000
Sm Pa Ga
2 1 1
Direct
0.2500 0.2500 0.2500
0.7500 0.7500 0.7500
0.0000 0.0000 0.0000
0.5000 0.5000 0.5000